Compound: VGaPt
Source: Alexandria via LeMat-Bulk
Functional: PBE
Structure: optimized geometry

Properties
* VASP energy: -78.5 eV per cell
* volume: 14.8 Å³ per atom
* space-group type: C2/m (12)
* energy of formation: -480 meV/atom

```
VGaPt
1.0
3.865 0.000 -0.004
0.000 3.574 0.000
-1.339 0.000 12.849
Pt V Ga
4 4 4
Direct
0.072 0.500 0.160 Pt
0.928 0.500 0.840 Pt
0.072 0.000 0.660 Pt
0.928 0.000 0.340 Pt
0.000 0.500 0.500 V
0.500 0.500 0.000 V
0.500 0.000 0.500 V
0.000 0.000 0.000 V
0.438 0.500 0.342 Ga
0.562 0.500 0.658 Ga
0.438 0.000 0.842 Ga
0.562 0.000 0.158 Ga
```

Compound: BaCd2W
Source: Alexandria via LeMat-Bulk
Functional: PBE
Structure: optimized geometry

Properties
* VASP energy: -13.3 eV per cell
* volume: 23.9 Å³ per atom
* space-group type: Cmmm (65)
* energy of formation: 852 meV/atom

```
BaCd2W
1.0
-6.704 0.551 3.437
0.676 -1.923 -5.308
-1.199 -2.693 0.825
Cd Ba W
2 1 1
Direct
0.000 0.000 0.000 Cd
0.500 0.000 0.500 Cd
0.500 0.500 0.000 Ba
0.000 0.500 0.500 W
```

Compound: PrY4Cd
Source: Alexandria via LeMat-Bulk
Functional: PBE
Structure: optimized geometry

Properties
* VASP energy: -32.1 eV per cell
* volume: 31.2 Å³ per atom
* space-group type: P4/mmm (123)
* energy of formation: -98 meV/atom

```
PrY4Cd
1.0
-1.287 -1.112 3.210
3.364 0.067 1.372
-1.869 13.489 3.923
Pr Y Cd
1 4 1
Direct
0.000 0.000 0.000 Pr
0.000 0.000 0.642 Y
0.500 0.500 0.180 Y
0.000 0.000 0.358 Y
0.500 0.500 0.820 Y
0.500 0.500 0.500 Cd
```

Compound: La3Tb4DySe8
Source: Alexandria via LeMat-Bulk
Functional: PBE
Structure: optimized geometry

Properties
* E_form (uncorrected): -1849 meV per atom
* VASP energy: -95.4 eV per cell
* volume: 25.8 Å³ per atom
* space-group type: R-3m (166)

```
La3Tb4DySe8
1.0
8.337 0.000 0.000
0.000 8.369 0.019
-4.169 -4.163 5.898
Se Tb La Dy
8 4 3 1
Direct
0.238 0.239 0.989 Se
0.249 0.760 0.499 Se
0.244 0.233 0.488 Se
0.756 0.767 0.512 Se
0.250 0.761 0.011 Se
0.750 0.239 0.989 Se
0.751 0.240 0.501 Se
0.762 0.761 0.011 Se
0.000 0.000 0.000 Tb
0.500 0.000 0.000 Tb
0.500 0.000 0.500 Tb
0.000 0.000 0.500 Tb
0.000 0.500 0.500 La
0.500 0.500 0.000 La
0.500 0.500 0.500 La
0.000 0.500 0.000 Dy
```

Compound: LiTiSiOs
Source: Alexandria via LeMat-Bulk
Functional: PBE
Structure: optimized geometry

Properties
* E_form (uncorrected): -506 meV per atom
* VASP energy: -28.5 eV per cell
* volume: 13.4 Å³ per atom
* space-group type: F-43m (216)

```
LiTiSiOs
1.0
-0.122 4.049 1.239
-3.722 1.989 0.377
-1.490 0.996 3.839
Li Si Ti Os
1 1 1 1
Direct
0.500 0.500 0.500 Li
0.750 0.750 0.750 Si
0.250 0.250 0.250 Ti
0.000 0.000 0.000 Os
```

Compound: CdCu2Cl
Source: Alexandria via LeMat-Bulk
Functional: PBE
Structure: optimized geometry

Properties
* E_form (uncorrected): 49 meV per atom
* VASP energy: -10.8 eV per cell
* volume: 16.9 Å³ per atom
* space-group type: R-3m (166)

```
CdCu2Cl
1.0
-5.869 -5.406 -1.169
-3.652 -6.469 -3.139
-3.549 -7.241 -0.086
Cd Cu Cl
1 2 1
Direct
0.250 0.250 0.250 Cd
0.006 0.006 0.006 Cu
0.494 0.494 0.494 Cu
0.750 0.750 0.750 Cl
```

Compound: NaLaTc
Source: Alexandria via LeMat-Bulk
Functional: PBE
Structure: optimized geometry

Properties
* VASP energy: -66.2 eV per cell
* volume: 33.7 Å³ per atom
* space-group type: C2/m (12)
* energy of formation: 24 meV/atom

```
NaLaTc
1.0
13.826 0.000 0.010
0.000 4.144 0.000
-1.261 0.000 7.048
Tc La Na
4 4 4
Direct
0.524 0.500 0.175 Tc
0.524 0.000 0.675 Tc
0.476 0.500 0.825 Tc
0.476 0.000 0.325 Tc
0.654 0.500 0.553 La
0.654 0.000 0.053 La
0.346 0.000 0.947 La
0.346 0.500 0.447 La
0.106 0.500 0.701 Na
0.894 0.500 0.299 Na
0.894 0.000 0.799 Na
0.106 0.000 0.201 Na
```

Compound: Li3Ca4Cu
Source: Alexandria via LeMat-Bulk
Functional: PBE
Structure: optimized geometry

Properties
* VASP energy: -17.8 eV per cell
* volume: 28.6 Å³ per atom
* space-group type: P4/mmm (123)
* energy of formation: 1 meV/atom

```
Li3Ca4Cu
1.0
3.804 0.000 0.000
0.000 3.804 0.000
0.000 0.000 15.830
Ca Li Cu
4 3 1
Direct
0.000 0.000 0.370 Ca
0.000 0.000 0.630 Ca
0.000 0.000 0.107 Ca
0.000 0.000 0.893 Ca
0.500 0.500 0.239 Li
0.500 0.500 0.500 Li
0.500 0.500 0.761 Li
0.500 0.500 0.000 Cu
```

Compound: AcMoAs
Source: Alexandria via LeMat-Bulk
Functional: PBE
Structure: optimized geometry

Properties
* VASP energy: -40.1 eV per cell
* volume: 29.9 Å³ per atom
* space-group type: C2/m (12)
* energy of formation: -154 meV/atom

```
AcMoAs
1.0
-2.077 3.061 -2.248
-6.964 -3.236 -2.138
-6.765 0.552 2.837
Mo Ac As
2 2 2
Direct
0.201 0.000 0.599 Mo
0.799 0.000 0.401 Mo
0.623 0.685 0.069 Ac
0.377 0.315 0.931 Ac
0.607 0.203 0.583 As
0.393 0.797 0.417 As
```

Compound: CaZnBAu2
Source: Alexandria via LeMat-Bulk
Functional: PBE
Structure: optimized geometry

Properties
* VASP energy: -15.3 eV per cell
* volume: 20.2 Å³ per atom
* space-group type: P4/mmm (123)
* energy of formation: 243 meV/atom

```
CaZnBAu2
1.0
5.004 0.000 0.000
0.000 4.033 0.000
0.000 0.000 5.004
Au B Zn Ca
2 1 1 1
Direct
0.500 0.000 0.000 Au
0.000 0.000 0.500 Au
0.000 0.500 0.000 B
0.000 0.000 0.000 Zn
0.500 0.500 0.500 Ca
```

Compound: RbZr2O
Source: Alexandria via LeMat-Bulk
Functional: PBE
Structure: optimized geometry

Properties
* E_form (uncorrected): -520 meV per atom
* VASP energy: -50.2 eV per cell
* volume: 29.5 Å³ per atom
* space-group type: Fd-3m (227)

```
RbZr2O
1.0
-1.617 -6.185 -2.687
3.021 1.806 -5.975
4.968 -4.004 -2.723
O Zr Rb
2 4 2
Direct
0.500 0.500 0.000 O
0.250 0.750 0.500 O
0.375 0.625 0.250 Zr
0.375 0.625 0.750 Zr
0.375 0.125 0.250 Zr
0.875 0.625 0.750 Zr
0.000 0.000 0.000 Rb
0.750 0.250 0.500 Rb
```

Compound: CaNb2GeO8
Source: Alexandria via LeMat-Bulk
Functional: PBE
Structure: optimized geometry

Properties
* E_form (uncorrected): -2375 meV per atom
* VASP energy: -94.9 eV per cell
* volume: 12.4 Å³ per atom
* space-group type: C2/m (12)

```
CaNb2GeO8
1.0
4.798 0.170 0.047
0.229 4.793 0.045
0.072 0.074 6.463
O Nb Ca Ge
8 2 1 1
Direct
0.806 0.208 0.791 O
0.676 0.677 0.488 O
0.704 0.706 0.005 O
0.296 0.294 0.995 O
0.207 0.805 0.791 O
0.194 0.792 0.209 O
0.324 0.323 0.512 O
0.793 0.195 0.209 O
0.536 0.536 0.243 Nb
0.464 0.464 0.757 Nb
0.000 0.000 0.500 Ca
0.000 0.000 0.000 Ge
```